No. 1
DFT (PBE) results for a geometry-optimized LiAcCdHg structure.

```
LiAcCdHg
1.0
4.227 -2.432 0.000
4.227 2.432 0.000
-2.812 0.000 5.377
Li Ac Cd Hg
1 1 1 1
direct
0.000 0.000 0.000
0.494 0.494 0.483
0.283 0.283 0.850
0.706 0.706 0.119
```

## Properties
distance to the lowest polymorph of the same formula	0	kJ/mol of formula units
crystal system	monoclinic

No. 2
DFT (PBE) results for a geometry-optimized Ba2BiPb2 structure.

```
Ba2BiPb2
1.0
9.926 0.000 0.000
0.000 9.926 0.000
0.000 0.000 4.094
Ba Bi Pb
4 2 4
direct
0.131 0.369 0.000
0.369 0.869 0.000
0.631 0.131 0.000
0.869 0.631 0.000
0.000 0.000 0.000
0.500 0.500 0.000
0.175 0.675 0.500
0.325 0.175 0.500
0.675 0.825 0.500
0.825 0.325 0.500
```

## Properties
distance to the lowest polymorph of the same formula	202	kJ/mol of formula units
crystal system	tetragonal

No. 3
DFT (PBE) results for a geometry-optimized NaNiH3 structure.

```
NaNiH3
1.0
5.305 0.000 0.000
0.000 5.208 0.000
0.000 0.000 6.257
Na Ni H
4 4 12
direct
0.000 0.000 0.000
0.000 0.500 0.000
0.500 0.000 0.500
0.500 0.500 0.500
0.015 0.250 0.422
0.485 0.750 0.922
0.515 0.250 0.078
0.985 0.750 0.578
0.076 0.561 0.385
0.076 0.939 0.385
0.244 0.250 0.243
0.256 0.750 0.743
0.424 0.061 0.885
0.424 0.439 0.885
0.576 0.561 0.115
0.576 0.939 0.115
0.744 0.250 0.257
0.756 0.750 0.757
0.924 0.061 0.615
0.924 0.439 0.615
```

## Properties
E	-3.489	eV/atom
crystal system	orthorhombic

No. 4
DFT (PBE) results for a geometry-optimized KZr3Ga structure.

```
KZr3Ga
1.0
5.261 0.000 0.000
0.000 5.261 0.000
0.000 0.000 5.261
K Zr Ga
1 3 1
direct
0.000 0.000 0.000
0.000 0.500 0.500
0.500 0.000 0.500
0.500 0.500 0.000
0.500 0.500 0.500
```

## Properties
distance to the lowest polymorph of the same formula	0	kJ/mol of formula units
crystal system	cubic

No. 5
DFT (PBE) results for a geometry-optimized Pm2IrPt structure.

```
Pm2IrPt
1.0
3.554 0.000 0.000
0.000 3.554 0.000
0.000 0.000 7.116
Pm Ir Pt
2 1 1
direct
0.000 0.000 0.242
0.000 0.000 0.758
0.500 0.500 0.000
0.500 0.500 0.500
```

## Properties
distance to the lowest polymorph of the same formula	22	kJ/mol of formula units
crystal system	tetragonal

No. 6
DFT (PBE) results for a geometry-optimized AcTb6Tm4 structure.

```
AcTb6Tm4
1.0
2.890 -4.856 0.000
2.890 4.856 0.000
0.000 0.000 25.595
Ac Tb Tm
2 12 8
direct
0.198 0.802 0.750
0.802 0.198 0.250
0.134 0.866 0.178
0.134 0.866 0.322
0.195 0.805 0.597
0.195 0.805 0.903
0.466 0.534 0.250
0.500 0.500 0.000
0.500 0.500 0.500
0.534 0.466 0.750
0.805 0.195 0.097
0.805 0.195 0.403
0.866 0.134 0.678
0.866 0.134 0.822
0.155 0.845 0.042
0.155 0.845 0.458
0.464 0.536 0.122
0.464 0.536 0.378
0.536 0.464 0.622
0.536 0.464 0.878
0.845 0.155 0.542
0.845 0.155 0.958
```

## Properties
E	-4.384	eV/atom
crystal system	orthorhombic

No. 7
DFT (PBE) results for a geometry-optimized KZn3Cd9 structure.

```
KZn3Cd9
1.0
2.867 -7.131 0.000
2.867 7.131 0.000
-2.804 0.000 7.078
K Zn Cd
1 3 9
direct
0.000 0.000 0.000
0.000 0.500 0.000
0.500 0.000 0.000
0.500 0.500 0.500
0.000 0.000 0.500
0.003 0.649 0.655
0.290 0.514 0.784
0.351 0.997 0.345
0.486 0.710 0.216
0.514 0.290 0.784
0.649 0.003 0.655
0.710 0.486 0.216
0.997 0.351 0.345
```

## Properties
E	-1.024	eV/atom
crystal system	monoclinic

No. 8
DFT (PBE) results for a geometry-optimized LiCr2Ni structure.

```
LiCr2Ni
1.0
4.142 0.000 0.000
0.000 4.142 0.000
0.000 0.000 2.952
Li Cr Ni
1 2 1
direct
0.000 0.000 0.000
0.000 0.500 0.500
0.500 0.000 0.500
0.500 0.500 0.000
```

## Properties
distance to the lowest polymorph of the same formula	130	kJ/mol of formula units
crystal system	tetragonal

No. 9
DFT (PBE) results for a geometry-optimized Y2Be structure.

```
Y2Be
1.0
-1.713 1.713 12.836
1.713 -1.713 12.836
1.713 1.713 -12.836
Y Be
4 2
direct
0.311 0.561 0.750
0.439 0.689 0.750
0.561 0.311 0.250
0.689 0.439 0.250
0.125 0.875 0.250
0.875 0.125 0.750
```

## Properties
distance to the lowest polymorph of the same formula	34	kJ/mol of formula units
crystal system	tetragonal

No. 10
DFT (PBE) results for a geometry-optimized Tb2CuSi structure.

```
Tb2CuSi
1.0
4.921 0.000 0.000
0.000 4.921 0.000
0.000 0.000 3.559
Tb Cu Si
2 1 1
direct
0.000 0.500 0.000
0.500 0.000 0.000
0.000 0.000 0.500
0.500 0.500 0.500
```

## Properties
energy relative to the elements, uncorrected	-9.40	kcal/mol of atoms
crystal system	tetragonal

No. 11
DFT (PBE) results for a geometry-optimized Be2TePt2 structure.

```
Be2TePt2
1.0
-1.755 1.755 6.208
1.755 -1.755 6.208
1.755 1.755 -6.208
Be Te Pt
2 1 2
direct
0.250 0.750 0.500
0.750 0.250 0.500
0.000 0.000 0.000
0.374 0.374 0.000
0.626 0.626 0.000
```

## Properties
distance to the lowest polymorph of the same formula	0	kJ/mol of formula units
energy relative to the elements, uncorrected	-7.44	kcal/mol of atoms
crystal system	tetragonal

No. 12
DFT (PBE) results for a geometry-optimized BeH2Se2 structure.

```
BeH2Se2
1.0
-2.345 2.345 2.786
2.345 -2.345 2.786
2.345 2.345 -2.786
Be H Se
1 2 2
direct
0.000 0.000 0.000
0.432 0.432 0.000
0.568 0.568 0.000
0.250 0.750 0.500
0.750 0.250 0.500
```

## Properties
distance to the lowest polymorph of the same formula	0	kJ/mol of formula units
crystal system	tetragonal

No. 13
DFT (PBE) results for a geometry-optimized YCr4 structure.

```
YCr4
1.0
-2.013 2.013 4.814
2.013 -2.013 4.814
2.013 2.013 -4.814
Y Cr
1 4
direct
0.000 0.000 0.000
0.250 0.750 0.500
0.374 0.374 0.000
0.626 0.626 0.000
0.750 0.250 0.500
```

## Properties
distance to the lowest polymorph of the same formula	0	kJ/mol of formula units
crystal system	tetragonal

No. 14
DFT (PBE) results for a geometry-optimized BeHgSe structure.

```
BeHgSe
1.0
3.628 0.000 0.000
1.806 6.623 0.000
0.031 3.309 6.254
Be Hg Se
2 2 2
direct
0.190 0.122 0.382
0.810 0.878 0.618
0.018 0.455 0.759
0.982 0.545 0.241
0.264 0.969 0.738
0.736 0.031 0.262
```

## Properties
distance to the lowest polymorph of the same formula	16	kJ/mol of formula units
energy relative to the elements, uncorrected	-8.16	kcal/mol of atoms
crystal system	triclinic

No. 15
DFT (PBE) results for a geometry-optimized BeTl2O structure.

```
BeTl2O
1.0
0.000 3.334 3.334
3.334 0.000 3.334
3.334 3.334 0.000
Be Tl O
1 2 1
direct
0.000 0.000 0.000
0.250 0.250 0.250
0.750 0.750 0.750
0.500 0.500 0.500
```

## Properties
distance to the lowest polymorph of the same formula	116	kJ/mol of formula units
energy relative to the elements, uncorrected	9.89	kcal/mol of atoms
crystal system	cubic

No. 16
DFT (PBE) results for a geometry-optimized GdThAlCu structure.

```
GdThAlCu
1.0
0.000 3.635 3.635
3.635 0.000 3.635
3.635 3.635 0.000
Gd Th Al Cu
1 1 1 1
direct
0.000 0.000 0.000
0.500 0.500 0.500
0.250 0.250 0.250
0.750 0.750 0.750
```

## Properties
E	-7.511	eV/atom
crystal system	cubic

No. 17
DFT (PBE) results for a geometry-optimized LaBe structure.

```
LaBe
1.0
2.601 1.502 3.699
-2.601 1.502 3.699
0.000 -3.003 3.699
La Be
2 2
direct
0.145 0.145 0.145
0.855 0.855 0.855
0.408 0.408 0.408
0.592 0.592 0.592
```

## Properties
distance to the lowest polymorph of the same formula	68	kJ/mol of formula units
crystal system	trigonal

No. 18
DFT (PBE) results for a geometry-optimized Pr15YEr4 structure.

```
Pr15YEr4
1.0
5.192 0.000 0.000
0.000 5.192 0.000
0.000 0.000 25.832
Pr Y Er
15 1 4
direct
0.000 0.000 0.000
0.000 0.000 0.200
0.000 0.000 0.400
0.000 0.000 0.600
0.000 0.000 0.800
0.000 0.500 0.101
0.000 0.500 0.300
0.000 0.500 0.500
0.000 0.500 0.700
0.000 0.500 0.899
0.500 0.000 0.101
0.500 0.000 0.300
0.500 0.000 0.500
0.500 0.000 0.700
0.500 0.000 0.899
0.500 0.500 0.000
0.500 0.500 0.200
0.500 0.500 0.400
0.500 0.500 0.600
0.500 0.500 0.800
```

## Properties
E	-4.812	eV/atom
crystal system	tetragonal

No. 19
DFT (PBE) results for a geometry-optimized Rb2GeRu structure.

```
Rb2GeRu
1.0
-6.590 6.590 2.330
6.590 -6.590 2.330
6.590 6.590 -2.330
Rb Ge Ru
4 2 2
direct
0.375 0.149 0.274
0.851 0.125 0.226
0.875 0.101 0.726
0.899 0.625 0.774
0.250 0.750 0.500
0.500 0.500 0.000
0.000 0.000 0.000
0.750 0.250 0.500
```

## Properties
E	-3.456	eV/atom
crystal system	tetragonal

No. 20
DFT (PBE) results for a geometry-optimized TiMn2Sn structure.

```
TiMn2Sn
1.0
4.183 0.000 0.000
0.000 4.183 0.000
0.000 0.000 3.380
Ti Mn Sn
1 2 1
direct
0.000 0.000 0.000
0.000 0.500 0.500
0.500 0.000 0.500
0.500 0.500 0.000
```

## Properties
E	-7.669	eV/atom
crystal system	tetragonal

No. 21
DFT (PBE) results for a geometry-optimized Zr2CoRe structure.

```
Zr2CoRe
1.0
0.000 3.232 3.232
3.232 0.000 3.232
3.232 3.232 0.000
Zr Co Re
2 1 1
direct
0.000 0.000 0.000
0.250 0.250 0.250
0.500 0.500 0.500
0.750 0.750 0.750
```

## Properties
E	-9.068	eV/atom
crystal system	cubic

No. 22
DFT (PBE) results for a geometry-optimized LaMg2SnN structure.

```
LaMg2SnN
1.0
4.580 0.000 0.000
0.000 4.580 0.000
0.000 0.000 4.990
La Mg Sn N
1 2 1 1
direct
0.000 0.000 0.000
0.000 0.500 0.500
0.500 0.000 0.500
0.500 0.500 0.000
0.000 0.000 0.500
```

## Properties
distance to the lowest polymorph of the same formula	0	kJ/mol of formula units
energy relative to the elements, uncorrected	-15.54	kcal/mol of atoms
crystal system	tetragonal

No. 23
DFT (PBE) results for a geometry-optimized Tb2NdN3 structure.

```
Tb2NdN3
1.0
3.075 -5.327 0.000
3.075 5.327 0.000
-2.049 0.000 5.799
Tb Nd N
4 2 6
direct
0.000 0.000 0.000
0.165 0.835 0.500
0.500 0.500 0.500
0.835 0.165 0.500
0.333 0.667 0.000
0.667 0.333 0.000
0.085 0.412 0.256
0.242 0.242 0.744
0.412 0.085 0.256
0.588 0.915 0.744
0.758 0.758 0.256
0.915 0.588 0.744
```

## Properties
energy relative to the elements, uncorrected	-35.66	kcal/mol of atoms
crystal system	monoclinic

No. 24
DFT (PBE) results for a geometry-optimized LiNiHg2 structure.

```
LiNiHg2
1.0
-2.140 2.140 8.890
2.140 -2.140 8.890
2.140 2.140 -8.890
Li Ni Hg
2 2 4
direct
0.000 0.000 0.000
0.750 0.250 0.500
0.250 0.750 0.500
0.500 0.500 0.000
0.138 0.625 0.013
0.375 0.388 0.513
0.612 0.125 0.987
0.875 0.862 0.487
```

## Properties
E	-1.876	eV/atom
crystal system	tetragonal

No. 25
DFT (PBE) results for a geometry-optimized La4HoCo2 structure.

```
La4HoCo2
1.0
7.690 0.000 0.000
0.000 6.684 0.000
-2.872 0.000 7.404
La Ho Co
8 2 4
direct
0.112 0.250 0.461
0.198 0.750 0.247
0.270 0.009 0.916
0.270 0.491 0.916
0.730 0.509 0.084
0.730 0.991 0.084
0.802 0.250 0.753
0.888 0.750 0.539
0.481 0.250 0.345
0.519 0.750 0.655
0.105 0.250 0.150
0.480 0.250 0.713
0.520 0.750 0.287
0.895 0.750 0.850
```

## Properties
E	-5.513	eV/atom
crystal system	monoclinic